Record 1
meta-GGA SCAN MgZr2Re, single point on PBEsol structure; spin magnetization = 0.00 Bohr magnetons per cell; volume = 19.063 A^3/atom; formation enthalpy at 0 K = 0.18 eV per atom; N(E_F) = 3.4 states/eV per cell; SG = No. 12; raw total energy = -34.1876 eV per atom
1.0
2.747 0.000 0.000
-1.373 4.776 0.012
0.000 -0.272 5.812
Mg Re Zr
1 1 2
Direct
0.000 0.000 0.500
0.500 0.000 0.000
0.750 0.499 0.764
0.250 0.501 0.236


Record 2
meta-GGA SCAN LiTeSeN2, single point on PBEsol structure; spin magnetization = 1.41 Bohr magnetons per cell; volume = 17.117 A^3/atom; distance to the lowest polymorph of the same formula = 0 meV/atom; N(E_F) = 3.0 states/eV per cell; SG = No. 123; energy relative to the elements, uncorrected = 4.68 eV/f.u.; raw total energy = -14.7250 eV per atom
1.0
-0.391 -1.405 3.668
3.104 -2.369 -0.577
3.350 3.935 1.864
Te Li Se N
1 1 1 2
Direct
0.000 0.000 0.000
0.500 0.500 0.500
0.000 0.000 0.500
0.000 0.500 0.000
0.500 0.000 0.000


Record 3
meta-GGA SCAN Li2TaBe, single point on PBEsol structure; spin magnetization = 0.00 Bohr magnetons per cell; volume = 13.881 A^3/atom; formation enthalpy at 0 K = 0.47 eV per atom; N(E_F) = 2.4 states/eV per cell; SG = No. 47; raw total energy = -18.4626 eV per atom
1.0
2.957 0.000 0.000
0.000 4.075 0.000
0.000 0.000 4.607
Be Ta Li
1 1 2
Direct
0.000 0.500 0.500
0.500 0.000 0.500
0.000 0.000 0.000
0.500 0.500 0.000


Record 4
meta-GGA SCAN Te2POs, single point on PBEsol structure; spin magnetization = 0.00 Bohr magnetons per cell; volume = 25.173 A^3/atom; distance to the lowest polymorph of the same formula = 170 meV/atom; N(E_F) = 4.9 states/eV per cell; SG = No. 122; energy relative to the elements, uncorrected = 2.73 eV/f.u.; raw total energy = -38.5119 eV per atom
1.0
-5.217 3.965 -1.287
-0.086 -4.082 5.101
0.238 2.342 6.249
P Te Os
2 4 2
Direct
0.250 0.500 0.250
0.500 0.000 0.500
0.649 0.750 0.375
0.101 0.750 0.875
0.875 0.250 0.649
0.375 0.250 0.101
0.750 0.500 0.750
0.000 0.000 0.000


Record 5
meta-GGA SCAN AlCr5, single point on PBEsol structure; spin magnetization = 0.01 Bohr magnetons per cell; volume = 11.574 A^3/atom; formation enthalpy at 0 K = -0.04 eV per atom; distance to the lowest polymorph of the same formula = 183 meV/atom; N(E_F) = 3.8 states/eV per cell; SG = No. 12; raw total energy = -16.6550 eV per atom
1.0
-1.880 -0.338 -2.098
4.293 -0.639 -1.826
-1.684 -4.991 2.313
Cr Al
5 1
Direct
0.671 0.343 0.346
0.329 0.657 0.654
0.323 0.645 0.170
0.000 0.000 0.500
0.677 0.355 0.830
0.000 0.000 0.000


Record 6
meta-GGA SCAN Ta2AsAu, single point on PBEsol structure; spin magnetization = 0.00 Bohr magnetons per cell; volume = 17.695 A^3/atom; formation enthalpy at 0 K = 0.08 eV per atom; distance to the lowest polymorph of the same formula = 215 meV/atom; N(E_F) = 2.7 states/eV per cell; SG = No. 160; raw total energy = -55.5529 eV per atom
1.0
-2.850 -0.434 0.592
-0.806 -2.102 1.897
-0.688 5.353 7.922
As Au Ta
1 1 2
Direct
0.495 0.495 0.514
0.252 0.252 0.244
0.999 0.999 0.003
0.753 0.753 0.740


Record 7
meta-GGA SCAN LiZr2Cl, single point on PBEsol structure; spin magnetization = 3.11 Bohr magnetons per cell; volume = 19.387 A^3/atom; distance to the lowest polymorph of the same formula = 1152 meV/atom; N(E_F) = 4.3 states/eV per cell; SG = No. 216; energy relative to the elements, uncorrected = 2.13 eV/f.u.; raw total energy = -17.4086 eV per atom
1.0
4.787 0.000 0.000
2.393 4.145 0.000
2.393 1.382 3.908
Cl Li Zr
1 1 2
Direct
0.500 0.500 0.500
0.750 0.750 0.750
0.000 0.000 0.000
0.250 0.250 0.250


Record 8
meta-GGA SCAN SrRuBr, single point on PBEsol structure; spin magnetization = 1.08 Bohr magnetons per cell; volume = 22.966 A^3/atom; distance to the lowest polymorph of the same formula = 17 meV/atom; N(E_F) = 3.4 states/eV per cell; SG = No. 216; energy relative to the elements, uncorrected = 1.16 eV/f.u.; raw total energy = -25.1344 eV per atom
1.0
-1.043 -2.449 3.753
-0.736 -4.530 -0.340
3.061 -2.965 1.736
Ru Br Sr
1 1 1
Direct
0.250 0.250 0.250
0.500 0.500 0.500
0.000 0.000 0.000


Record 9
meta-GGA SCAN Cd8Hg, single point on PBEsol structure; spin magnetization = 0.00 Bohr magnetons per cell; volume = 20.957 A^3/atom; formation enthalpy at 0 K = 0.02 eV per atom; N(E_F) = 3.0 states/eV per cell; SG = No. 139; raw total energy = -34.5912 eV per atom
1.0
4.392 0.000 0.000
2.196 6.553 0.000
2.196 0.000 6.553
Cd Hg
8 1
Direct
0.334 0.666 0.666
0.666 0.334 0.334
0.000 0.334 0.666
0.332 0.000 0.336
0.668 0.664 0.000
0.000 0.666 0.334
0.332 0.336 0.000
0.668 0.000 0.664
0.000 0.000 0.000


Record 10
meta-GGA SCAN SrTiPS2, single point on PBEsol structure; spin magnetization = 0.00 Bohr magnetons per cell; volume = 21.115 A^3/atom; N(E_F) = 2.6 states/eV per cell; SG = No. 123; energy relative to the elements, uncorrected = -6.47 eV/f.u.; raw total energy = -14.8851 eV per atom
1.0
4.710 0.000 0.000
0.000 4.734 0.000
0.000 0.000 4.734
Sr S P Ti
1 2 1 1
Direct
0.500 0.500 0.500
0.000 0.000 0.500
0.000 0.500 0.000
0.500 0.000 0.000
0.000 0.000 0.000


Record 11
meta-GGA SCAN ScGeTe2N, single point on PBEsol structure; spin magnetization = 1.63 Bohr magnetons per cell; volume = 24.337 A^3/atom; N(E_F) = 2.8 states/eV per cell; SG = No. 123; energy relative to the elements, uncorrected = 0.97 eV/f.u.; raw total energy = -23.2302 eV per atom
1.0
3.854 0.000 0.000
0.000 5.619 0.000
0.000 0.000 5.619
Sc Ge Te N
1 1 2 1
Direct
0.000 0.000 0.000
0.500 0.500 0.500
0.000 0.000 0.500
0.000 0.500 0.000
0.500 0.000 0.000


Record 12
meta-GGA SCAN TcMo2Ir, single point on PBEsol structure; spin magnetization = 0.00 Bohr magnetons per cell; volume = 14.596 A^3/atom; formation enthalpy at 0 K = -0.13 eV per atom; distance to the lowest polymorph of the same formula = 0 meV/atom; N(E_F) = 3.7 states/eV per cell; SG = No. 123; raw total energy = -44.1095 eV per atom
1.0
-2.168 -1.833 -2.613
2.403 -3.055 0.150
-2.140 -1.543 2.858
Mo Ir Tc
2 1 1
Direct
0.000 0.000 0.500
0.000 0.500 0.000
0.500 0.000 0.000
0.500 0.500 0.500